First-principles (GGA-PBE) data for a geometry-optimized CuB2Ru2 structure, as listed in Alexandria via LeMat-Bulk.

total magnetization	0.000	μB per cell
excess energy over the best structure of this formula in the dataset	297.2	meV per atom
theoretical density	8.73	g/cm3
calculated formation energy	85	kJ/mol of formula units

abc: 4.1670 4.1670 4.3101
angles: 61.09 61.09 90.00
With the nearest neighbours (Å) after each atom.
Fractional coordinates of all 5 atoms:
Ru 0.7500 0.2500 0.5000  4 B 2.17
Ru 0.2500 0.7500 0.5000  4 B 2.17
B 0.3488 0.3488 0.3025  1 B 1.90
B 0.6512 0.6512 0.6975  1 B 1.90
Cu 0.0000 0.0000 0.0000  2 B 2.19

***

First-principles (GGA-PBE) data for a geometry-optimized YTh2Pd2 structure, as listed in Alexandria via LeMat-Bulk.

total magnetization	0.000	μB per cell
excess energy over the best structure of this formula in the dataset	91.4	meV per atom
theoretical density	9.72	g/cm3
calculated formation energy	-264	kJ/mol of formula units

abc: 6.3035 6.3034 6.9095
angles: 123.23 123.23 102.24
With the nearest neighbours (Å) after each atom.
Fractional coordinates of all 5 atoms:
Y 0.0000 0.0000 0.0000  4 Pd 2.84
Th 0.1969 0.8031 0.5000  4 Pd 3.06
Th 0.8031 0.1969 0.5000  4 Pd 3.06
Pd 0.5002 0.5002 0.1995  1 Pd 2.75, 2 Y 2.84, 4 Th 3.06
Pd 0.4998 0.4998 0.8005  1 Pd 2.75, 2 Y 2.84, 4 Th 3.06

***

First-principles (GGA-PBE) data for a geometry-optimized BaLiPrBr6 structure, as listed in Alexandria via LeMat-Bulk.

total magnetization	0.000	μB per cell
theoretical density	3.83	g/cm3
uncorrected formation energy	-16.96	eV per formula unit

abc: 7.3699 7.3699 14.1100
angles: 90.00 90.00 120.00
With the nearest neighbours (Å) after each atom.
Fractional coordinates of all 18 atoms:
Ba 0.0000 0.0000 0.0000  6 Br 3.27
Ba 0.0000 0.0000 0.5000  6 Br 3.27
Li 0.6667 0.3333 0.2500  6 Br 2.81
Li 0.3333 0.6667 0.7500  6 Br 2.81
Pr 0.3333 0.6667 0.2500  6 Br 2.93
Pr 0.6667 0.3333 0.7500  6 Br 2.93
Br 0.6444 0.6314 0.1344  1 Li 2.81, 1 Pr 2.93
Br 0.9870 0.3556 0.1344  1 Li 2.81, 1 Pr 2.93
Br 0.3556 0.9870 0.6344  1 Li 2.81, 1 Pr 2.93
Br 0.0130 0.6444 0.8656  1 Li 2.81, 1 Pr 2.93
Br 0.3686 0.3556 0.3656  1 Li 2.81, 1 Pr 2.93
Br 0.9870 0.6314 0.3656  1 Li 2.81, 1 Pr 2.93
Br 0.6314 0.9870 0.8656  1 Li 2.81, 1 Pr 2.93
Br 0.6444 0.0130 0.3656  1 Li 2.81, 1 Pr 2.93
Br 0.0130 0.3686 0.6344  1 Li 2.81, 1 Pr 2.93
Br 0.3686 0.0130 0.1344  1 Li 2.81, 1 Pr 2.93
Br 0.6314 0.6444 0.6344  1 Li 2.81, 1 Pr 2.93
Br 0.3556 0.3686 0.8656  1 Li 2.81, 1 Pr 2.93

***

First-principles (GGA-PBE) data for a geometry-optimized CuIr2Pt structure, as listed in Alexandria via LeMat-Bulk.

total magnetization	0.000	μB per cell
excess energy over the best structure of this formula in the dataset	122.6	meV per atom
theoretical density	18.63	g/cm3
calculated formation energy	49	kJ/mol of formula units

abc: 3.8213 3.8213 3.9259
angles: 90.00 90.00 90.00
With the nearest neighbours (Å) after each atom.
Fractional coordinates of all 4 atoms:
Cu 0.0000 0.5000 0.5000  4 Pt 2.70, 8 Ir 2.74
Ir 0.0000 0.0000 0.0000  4 Ir 2.70, 4 Cu 2.74, 4 Pt 2.74
Ir 0.5000 0.5000 0.0000  4 Ir 2.70, 4 Cu 2.74, 4 Pt 2.74
Pt 0.5000 0.0000 0.5000  4 Cu 2.70, 8 Ir 2.74

***

First-principles (GGA-PBE) data for a geometry-optimized ScCu2Os structure, as listed in Alexandria via LeMat-Bulk.

total magnetization	0.000	μB per cell
excess energy over the best structure of this formula in the dataset	78.1	meV per atom
theoretical density	10.30	g/cm3
calculated formation energy	8	kJ/mol of formula units

abc: 4.8733 4.8733 4.8733
angles: 137.66 130.38 67.23
With the nearest neighbours (Å) after each atom.
Fractional coordinates of all 4 atoms:
Cu 0.9909 0.9909 0.0000  2 Cu 2.60, 4 Os 2.70, 4 Sc 2.73-2.84
Cu 0.7559 0.2559 0.5000  2 Cu 2.60, 4 Os 2.69-2.88, 4 Sc 2.70
Os 0.5052 0.5052 0.0000  8 Cu 2.69-2.88, 4 Sc 2.73-2.84
Sc 0.2480 0.7480 0.5000  8 Cu 2.70-2.84, 4 Os 2.73-2.84

***

First-principles (GGA-PBE) data for a geometry-optimized RbSc2Bi structure, as listed in Alexandria via LeMat-Bulk.

total magnetization	4.190	μB per cell
theoretical density	3.63	g/cm3
calculated formation energy	133	kJ/mol of formula units

abc: 5.7931 5.7931 11.2515
angles: 75.08 75.08 90.00
With the nearest neighbours (Å) after each atom.
Fractional coordinates of all 8 atoms:
Sc 0.8758 0.1250 0.2500  2 Sc 2.90, 2 Bi 2.99
Sc 0.8742 0.6250 0.2500  2 Sc 2.90, 2 Bi 2.99
Sc 0.3750 0.1242 0.7500  2 Sc 2.90, 2 Bi 2.99
Sc 0.8750 0.1258 0.7500  2 Sc 2.90, 2 Bi 2.99
Bi 0.0000 0.0000 0.0000  4 Sc 2.99
Bi 0.7500 0.2500 0.5000  4 Sc 2.99
Rb 0.5000 0.5000 0.0000  4 Bi 4.10, 8 Sc 4.16-4.17
Rb 0.2500 0.7500 0.5000  4 Bi 4.10, 8 Sc 4.16-4.17

***

First-principles (GGA-PBE) data for a geometry-optimized FeReN3 structure, as listed in Alexandria via LeMat-Bulk.

total magnetization	0.000	μB per cell
theoretical density	10.20	g/cm3
uncorrected formation energy	7.45	eV per formula unit

abc: 3.5892 3.5892 3.5892
angles: 90.00 90.00 90.00
With the nearest neighbours (Å) after each atom.
Fractional coordinates of all 5 atoms:
Re 0.5000 0.5000 0.5000  12 N 2.54
Fe 0.0000 0.0000 0.0000  6 N 1.79
N 0.0000 0.5000 0.0000  2 Fe 1.79
N 0.0000 0.0000 0.5000  2 Fe 1.79
N 0.5000 0.0000 0.0000  2 Fe 1.79

***

First-principles (GGA-PBE) data for a geometry-optimized InCuAg14 structure, as listed in Alexandria via LeMat-Bulk.

total magnetization	0.000	μB per cell
theoretical density	9.76	g/cm3
calculated formation energy	42	kJ/mol of formula units

abc: 5.8822 5.8822 9.6042
angles: 90.00 90.00 120.18
With the nearest neighbours (Å) after each atom.
Fractional coordinates of all 16 atoms:
In 0.0402 0.9598 0.5000  10 Ag 2.93-2.97, 2 Cu 2.93
Cu 0.5426 0.4574 0.5000  10 Ag 2.91-2.96, 2 In 2.93
Ag 0.2088 0.7912 0.0000  12 Ag 2.93-2.97
Ag 0.7080 0.2920 0.0000  12 Ag 2.91-2.96
Ag 0.0394 0.4576 0.5000  8 Ag 2.92-2.96, 2 Cu 2.92-2.96, 2 In 2.93-2.95
Ag 0.2100 0.2911 0.0000  12 Ag 2.92-2.96
Ag 0.5424 0.9606 0.5000  8 Ag 2.92-2.96, 2 Cu 2.92-2.96, 2 In 2.93-2.95
Ag 0.7089 0.7900 0.0000  12 Ag 2.92-2.96
Ag 0.3777 0.1287 0.7483  10 Ag 2.90-2.97, 1 Cu 2.91, 1 In 2.94
Ag 0.3777 0.1287 0.2517  10 Ag 2.90-2.97, 1 Cu 2.91, 1 In 2.94
Ag 0.8713 0.6223 0.7483  10 Ag 2.90-2.97, 1 Cu 2.91, 1 In 2.94
Ag 0.8713 0.6223 0.2517  10 Ag 2.90-2.97, 1 Cu 2.91, 1 In 2.94
Ag 0.3768 0.6232 0.7473  11 Ag 2.91-2.97, 1 Cu 2.92
Ag 0.3768 0.6232 0.2527  11 Ag 2.91-2.97, 1 Cu 2.92
Ag 0.8740 0.1260 0.7536  11 Ag 2.91-2.96, 1 In 2.97
Ag 0.8740 0.1260 0.2464  11 Ag 2.91-2.96, 1 In 2.97

***

First-principles (GGA-PBE) data for a geometry-optimized Li2Pr3S4O2 structure, as listed in Alexandria via LeMat-Bulk.

total magnetization	0.000	μB per cell
theoretical density	4.51	g/cm3
uncorrected formation energy	-20.06	eV per formula unit

abc: 4.5996 4.5996 10.8942
angles: 102.19 102.19 90.00
With the nearest neighbours (Å) after each atom.
Fractional coordinates of all 11 atoms:
Li 0.3741 0.3741 0.7482  1 O 1.86
Li 0.6259 0.6259 0.2518  1 O 1.86
Pr 0.0000 0.0000 0.0000  8 S 2.96
Pr 0.1819 0.1819 0.3639  1 O 2.14
Pr 0.8181 0.8181 0.6361  1 O 2.14
S 0.4107 0.9107 0.8215  2 Li 2.42
S 0.9107 0.4107 0.8215  2 Li 2.42
S 0.0893 0.5893 0.1785  2 Li 2.42
S 0.5893 0.0893 0.1785  2 Li 2.42
O 0.2846 0.2846 0.5693  1 Li 1.86
O 0.7154 0.7154 0.4307  1 Li 1.86

***

First-principles (GGA-PBE) data for a geometry-optimized CsTl4CdIn2 structure, as listed in Alexandria via LeMat-Bulk.

total magnetization	0.000	μB per cell
theoretical density	7.78	g/cm3
calculated formation energy	-27	kJ/mol of formula units

abc: 5.4150 5.4150 11.3062
angles: 76.14 76.14 60.00
With the nearest neighbours (Å) after each atom.
Fractional coordinates of all 8 atoms:
Cs 0.0000 0.0000 0.0000  8 Tl 3.92-4.35
Tl 0.4061 0.4061 0.7818  1 Cd 3.06, 3 In 3.23
Tl 0.8667 0.8667 0.4000  3 Cd 3.31, 4 In 3.32-3.33, 3 Tl 3.70
Tl 0.1333 0.1333 0.6000  3 Cd 3.31, 4 In 3.32-3.33, 3 Tl 3.70
Tl 0.5939 0.5939 0.2182  1 Cd 3.06, 3 In 3.23
Cd 0.5000 0.5000 0.5000  8 Tl 3.06-3.31
In 0.7648 0.7648 0.7057  7 Tl 3.23-3.33
In 0.2352 0.2352 0.2943  7 Tl 3.23-3.33

***

First-principles (GGA-PBE) data for a geometry-optimized YTl2Si structure, as listed in Alexandria via LeMat-Bulk.

total magnetization	0.000	μB per cell
excess energy over the best structure of this formula in the dataset	0.0	meV per atom
theoretical density	8.27	g/cm3
uncorrected formation energy	-0.49	eV per formula unit

abc: 4.0526 4.2499 6.4869
angles: 70.94 90.00 90.00
With the nearest neighbours (Å) after each atom.
Fractional coordinates of all 4 atoms:
Si 0.5000 0.9746 0.6739  3 Tl 2.79-2.94, 4 Y 2.98-2.99
Tl 0.0000 0.8021 0.0211  2 Si 2.94, 4 Tl 3.17-3.18
Tl 0.5000 0.2044 0.2183  1 Si 2.79
Y 0.0000 0.5189 0.5867  4 Si 2.98-2.99

***

First-principles (GGA-PBE) data for a geometry-optimized Er3Zn2Ga structure, as listed in Alexandria via LeMat-Bulk.

total magnetization	0.000	μB per cell
excess energy over the best structure of this formula in the dataset	4.9	meV per atom
theoretical density	8.78	g/cm3
calculated formation energy	-247	kJ/mol of formula units

abc: 3.5383 3.5383 10.6100
angles: 90.00 90.00 90.00
With the nearest neighbours (Å) after each atom.
Fractional coordinates of all 6 atoms:
Er 0.0000 0.0000 0.0000  8 Zn 3.04
Er 0.0000 0.0000 0.6680  4 Ga 3.07, 4 Zn 3.08
Er 0.0000 0.0000 0.3320  4 Ga 3.07, 4 Zn 3.08
Zn 0.5000 0.5000 0.8369  8 Er 3.04-3.08
Zn 0.5000 0.5000 0.1631  8 Er 3.04-3.08
Ga 0.5000 0.5000 0.5000  8 Er 3.07